This record from the Alexandria database describes a relaxed TlHgP crystal. The functional is PBE-GGA.

Values from the calculation:
As for the relative energy among the computed polymorphs: 118.6 meV per atom. The value obtained for the calculated formation energy is 0.158 eV/atom. The density of states at the Fermi level comes out at 0.49 states/eV per cell. The calculation puts the total DFT energy (no corrections) at -7.60 eV for the cell shown.

Cell lengths 4.379, 4.379, 4.984 Å; angles 90.00, 90.00, 120.00 degrees
Positions (direct):
Tl: 0.000 0.000 0.000
Hg: 0.333 0.667 0.511
P: 0.667 0.333 0.459

***

This record from the Alexandria database describes a relaxed TlHgP2 crystal. The functional is PBE-GGA.

Values from the calculation:
As for the relative energy among the computed polymorphs: 642.6 meV per atom. The value obtained for the calculated formation energy is 0.686 eV/atom. The density of states at the Fermi level comes out at 4.86 states/eV per cell. The calculation puts the total DFT energy (no corrections) at -21.49 eV for the cell shown.

Cell lengths 5.951, 7.596, 3.832 Å; angles 90.00, 90.00, 90.00 degrees
Positions (direct):
Tl: 0.000 0.000 0.000
Tl: 0.500 0.500 0.000
Hg: 0.000 0.500 0.000
Hg: 0.500 0.000 0.000
P: 0.250 0.250 0.500
P: 0.250 0.750 0.500
P: 0.750 0.250 0.500
P: 0.750 0.750 0.500

***

This record from the Alexandria database describes a relaxed TlHgP2 crystal. The functional is PBE-GGA.

Values from the calculation:
As for the relative energy among the computed polymorphs: 293.8 meV per atom. The value obtained for the calculated formation energy is 0.337 eV/atom. The density of states at the Fermi level comes out at 10.39 states/eV per cell. The calculation puts the total DFT energy (no corrections) at -48.56 eV for the cell shown.

Cell lengths 6.015, 6.015, 11.921 Å; angles 90.00, 90.00, 90.00 degrees
Positions (direct):
Tl: 0.000 0.000 0.000
Tl: 0.000 0.500 0.250
Tl: 0.500 0.000 0.750
Tl: 0.500 0.500 0.500
Hg: 0.000 0.000 0.500
Hg: 0.000 0.500 0.750
Hg: 0.500 0.000 0.250
Hg: 0.500 0.500 0.000
P: 0.239 0.250 0.625
P: 0.250 0.739 0.875
P: 0.250 0.761 0.375
P: 0.261 0.250 0.125
P: 0.739 0.750 0.125
P: 0.750 0.239 0.375
P: 0.750 0.261 0.875
P: 0.761 0.750 0.625

***

This record from the Alexandria database describes a relaxed Tl4HgP crystal. The functional is PBE-GGA.

Values from the calculation:
As for the relative energy among the computed polymorphs: 215.6 meV per atom. The value obtained for the calculated formation energy is 0.406 eV/atom. The density of states at the Fermi level comes out at 4.13 states/eV per cell. The calculation puts the total DFT energy (no corrections) at -12.74 eV for the cell shown.

Cell lengths 6.385, 6.385, 6.385 Å; angles 60.00, 60.00, 60.00 degrees
Positions (direct):
Tl: 0.376 0.376 0.376
Tl: 0.376 0.376 0.873
Tl: 0.376 0.873 0.376
Tl: 0.873 0.376 0.376
Hg: 0.000 0.000 0.000
P: 0.750 0.750 0.750

***

This record from the Alexandria database describes a relaxed TlHgP2 crystal. The functional is PBE-GGA.

Values from the calculation:
As for the relative energy among the computed polymorphs: 167.9 meV per atom. The value obtained for the calculated formation energy is 0.211 eV/atom. The density of states at the Fermi level comes out at 1.69 states/eV per cell. The calculation puts the total DFT energy (no corrections) at -12.64 eV for the cell shown.

Cell lengths 3.806, 3.875, 7.058 Å; angles 90.60, 90.58, 90.03 degrees
Positions (direct):
Tl: 0.000 0.000 0.000
Hg: 0.019 0.015 0.563
P: 0.508 0.504 0.187
P: 0.516 0.512 0.481

***

This record from the Alexandria database describes a relaxed TlHgP2 crystal. The functional is PBE-GGA.

Values from the calculation:
As for the relative energy among the computed polymorphs: 147.1 meV per atom. The value obtained for the calculated formation energy is 0.190 eV/atom. The density of states at the Fermi level comes out at 1.72 states/eV per cell. The calculation puts the total DFT energy (no corrections) at -12.73 eV for the cell shown.

Cell lengths 3.254, 3.254, 8.650 Å; angles 90.00, 90.00, 90.00 degrees
Positions (direct):
Tl: 0.000 0.000 0.000
Hg: 0.500 0.500 0.330
P: 0.000 0.000 0.635
P: 0.500 0.500 0.718

***

This record from the Alexandria database describes a relaxed TlHgP crystal. The functional is PBE-GGA.

Values from the calculation:
As for the relative energy among the computed polymorphs: 304.4 meV per atom. The value obtained for the calculated formation energy is 0.344 eV/atom. The density of states at the Fermi level comes out at 2.81 states/eV per cell. The calculation puts the total DFT energy (no corrections) at -14.09 eV for the cell shown.

Cell lengths 3.764, 3.764, 11.781 Å; angles 90.00, 90.00, 90.00 degrees
Positions (direct):
Tl: 0.000 0.000 0.000
Tl: 0.500 0.500 0.500
Hg: 0.000 0.000 0.271
Hg: 0.500 0.500 0.771
P: 0.000 0.000 0.749
P: 0.500 0.500 0.249

***

This record from the Alexandria database describes a relaxed TlHgP3 crystal. The functional is PBE-GGA.

Values from the calculation:
As for the relative energy among the computed polymorphs: 0.0 meV per atom. The value obtained for the calculated formation energy is 1.170 eV/atom. The density of states at the Fermi level comes out at 6.62 states/eV per cell. The calculation puts the total DFT energy (no corrections) at -13.05 eV for the cell shown.

Cell lengths 5.120, 5.120, 5.120 Å; angles 90.00, 90.00, 90.00 degrees
Positions (direct):
Tl: 0.000 0.000 0.000
Hg: 0.500 0.500 0.500
P: 0.000 0.500 0.500
P: 0.500 0.000 0.500
P: 0.500 0.500 0.000